Entry from OQMD via LeMat-Bulk: a relaxed structure of LuNbZnCo (PBE).

The calculation puts the total energy at -5.54 eV per atom. As for the crystal system: cubic. As for the total magnetization: 1.00 μB per cell.

```
LuNbZnCo
1.0
0.0000 3.2025 3.2025
3.2025 0.0000 3.2025
3.2025 3.2025 0.0000
Co Lu Nb Zn
1 1 1 1
Direct
0.7500 0.7500 0.7500
0.2500 0.2500 0.2500
0.5000 0.5000 0.5000
0.0000 0.0000 0.0000
```